Record 1
The following is a GGA+U calculation of crystalline VZnF2 at its relaxed geometry, from the Alexandria database.

Structure (POSCAR):
```
VZnF2
1.0
0.0000 2.9846 2.9846
2.9846 0.0000 2.9846
2.9846 2.9846 0.0000
V Zn F
1 1 2
Direct
0.0000 0.0000 0.0000
0.5000 0.5000 0.5000
0.2500 0.2500 0.2500
0.7500 0.7500 0.7500
```

Computed properties:
Total magnetization = 3.0 μB/cell
Symmetry = Fm-3m, No. 225
Offset from the most stable computed form = 861 meV/atom
V = 13.29 A^3/atom
E = -3.98 eV per atom

Record 2
The following is a GGA+U calculation of crystalline ZrVF2 at its relaxed geometry, from the Alexandria database.

Structure (POSCAR):
```
ZrVF2
1.0
-2.0355 2.0355 7.5193
2.0355 -2.0355 7.5193
2.0355 2.0355 -7.5193
Zr V F
2 2 4
Direct
0.0000 0.0000 0.0000
0.7500 0.2500 0.5000
0.2500 0.7500 0.5000
0.5000 0.5000 0.0000
0.0763 0.6250 0.9513
0.3750 0.3263 0.4513
0.6737 0.1250 0.0487
0.8750 0.9237 0.5487
```

Computed properties:
Total magnetization = 5.5 μB/cell
Symmetry = I-42d, No. 122
Offset from the most stable computed form = 305 meV/atom
V = 15.58 A^3/atom
E = -6.15 eV per atom

Record 3
The following is a GGA+U calculation of crystalline Zr3VF at its relaxed geometry, from the Alexandria database.

Structure (POSCAR):
```
Zr3VF
1.0
5.0005 0.0000 0.0000
0.0000 5.0005 0.0000
0.0000 0.0000 5.0005
Zr V F
3 1 1
Direct
0.0000 0.0000 0.5000
0.0000 0.5000 0.0000
0.5000 0.0000 0.0000
0.0000 0.0000 0.0000
0.5000 0.5000 0.5000
```

Computed properties:
Total magnetization = 2.2 μB/cell
Symmetry = Pm-3m, No. 221
Offset from the most stable computed form = 1148 meV/atom
V = 25.01 A^3/atom
E = -6.08 eV per atom

Record 4
The following is a GGA+U calculation of crystalline ZrV2F at its relaxed geometry, from the Alexandria database.

Structure (POSCAR):
```
ZrV2F
1.0
-3.3171 3.3171 3.3259
3.3171 -3.3171 3.3259
3.3171 3.3171 -3.3259
Zr V F
2 4 2
Direct
0.0000 0.0000 0.0000
0.7500 0.2500 0.5000
0.2323 0.6250 0.1073
0.3750 0.4823 0.6073
0.5177 0.1250 0.8927
0.8750 0.7677 0.3927
0.2500 0.7500 0.5000
0.5000 0.5000 0.0000
```

Computed properties:
Total magnetization = 10.3 μB/cell
Symmetry = I-42d, No. 122
Offset from the most stable computed form = 0 meV/atom
V = 18.30 A^3/atom
E = -6.08 eV per atom

Record 5
The following is a GGA+U calculation of crystalline ZrVF3 at its relaxed geometry, from the Alexandria database.

Structure (POSCAR):
```
ZrVF3
1.0
4.2206 0.0000 0.0000
0.0000 4.2206 0.0000
0.0000 0.0000 4.2206
Zr V F
1 1 3
Direct
0.0000 0.0000 0.0000
0.5000 0.5000 0.5000
0.0000 0.5000 0.5000
0.5000 0.0000 0.5000
0.5000 0.5000 0.0000
```

Computed properties:
Total magnetization = 5.8 μB/cell
Symmetry = Pm-3m, No. 221
Offset from the most stable computed form = 64 meV/atom
V = 15.04 A^3/atom
E = -5.91 eV per atom

Record 6
The following is a GGA+U calculation of crystalline Zr3VF at its relaxed geometry, from the Alexandria database.

Structure (POSCAR):
```
Zr3VF
1.0
4.5663 0.0000 0.0000
0.0000 4.5663 0.0000
0.0000 0.0000 4.5663
Zr V F
3 1 1
Direct
0.0000 0.0000 0.5000
0.0000 0.5000 0.0000
0.5000 0.0000 0.0000
0.5000 0.5000 0.5000
0.0000 0.0000 0.0000
```

Computed properties:
Total magnetization = 1.3 μB/cell
Symmetry = Pm-3m, No. 221
Offset from the most stable computed form = 0 meV/atom
V = 19.04 A^3/atom
E = -7.22 eV per atom

Record 7
The following is a GGA+U calculation of crystalline ZrVF2 at its relaxed geometry, from the Alexandria database.

Structure (POSCAR):
```
ZrVF2
1.0
1.5112 0.8725 7.6950
-1.5112 0.8725 7.6950
0.0000 -1.7449 7.6950
Zr V F
1 1 2
Direct
0.0000 0.0000 0.0000
0.5000 0.5000 0.5000
0.4027 0.4027 0.4027
0.5973 0.5973 0.5973
```

Computed properties:
Total magnetization = 3.6 μB/cell
Symmetry = R-3m, No. 166
Offset from the most stable computed form = 32 meV/atom
V = 15.22 A^3/atom
E = -6.43 eV per atom

Record 8
The following is a GGA+U calculation of crystalline ZrV2F at its relaxed geometry, from the Alexandria database.

Structure (POSCAR):
```
ZrV2F
1.0
0.0000 3.3769 3.3769
3.3769 0.0000 3.3769
3.3769 3.3769 0.0000
Zr V F
1 2 1
Direct
0.0000 0.0000 0.0000
0.2500 0.2500 0.2500
0.7500 0.7500 0.7500
0.5000 0.5000 0.5000
```

Computed properties:
Total magnetization = 7.7 μB/cell
Symmetry = Fm-3m, No. 225
Offset from the most stable computed form = 651 meV/atom
V = 19.25 A^3/atom
E = -5.43 eV per atom

Record 9
The following is a GGA+U calculation of crystalline ZrV2F8 at its relaxed geometry, from the Alexandria database.

Structure (POSCAR):
```
ZrV2F8
1.0
4.9300 -3.6140 0.0000
4.9300 3.6140 0.0000
-0.2432 0.0000 4.3620
Zr V F
1 2 8
Direct
0.0000 0.0000 0.0000
0.3802 0.3802 0.7380
0.6198 0.6198 0.2620
0.1096 0.6944 0.7569
0.1675 0.1675 0.7461
0.3056 0.8904 0.2431
0.4044 0.4044 0.2421
0.5956 0.5956 0.7579
0.6944 0.1096 0.7569
0.8325 0.8325 0.2539
0.8904 0.3056 0.2431
```

Computed properties:
Total magnetization = 6.0 μB/cell
Symmetry = C2/m, No. 12
Offset from the most stable computed form = 0 meV/atom
V = 14.13 A^3/atom
E = -6.58 eV per atom

Record 10
The following is a GGA+U calculation of crystalline ZrVF3 at its relaxed geometry, from the Alexandria database.

Structure (POSCAR):
```
ZrVF3
1.0
4.3650 0.0000 0.0000
0.0000 4.3650 0.0000
0.0000 0.0000 4.3650
Zr V F
1 1 3
Direct
0.0000 0.0000 0.0000
0.5000 0.5000 0.5000
0.0000 0.0000 0.5000
0.0000 0.5000 0.0000
0.5000 0.0000 0.0000
```

Computed properties:
Total magnetization = 5.7 μB/cell
Symmetry = Pm-3m, No. 221
Offset from the most stable computed form = 0 meV/atom
V = 16.63 A^3/atom
E = -5.97 eV per atom

Record 11
The following is a GGA+U calculation of crystalline ZrV2F8 at its relaxed geometry, from the Alexandria database.

Structure (POSCAR):
```
ZrV2F8
1.0
4.3371 -3.6824 0.0000
4.3371 3.6824 0.0000
-1.3181 0.0000 5.0441
Zr V F
1 2 8
Direct
0.0000 0.0000 0.0000
0.3187 0.3187 0.5236
0.6813 0.6813 0.4764
0.0361 0.6817 0.7328
0.1609 0.1609 0.7786
0.3183 0.9639 0.2672
0.4487 0.4487 0.2453
0.5513 0.5513 0.7547
0.6817 0.0361 0.7328
0.8391 0.8391 0.2214
0.9639 0.3183 0.2672
```

Computed properties:
Total magnetization = 6.0 μB/cell
Symmetry = C2/m, No. 12
Offset from the most stable computed form = 113 meV/atom
V = 14.65 A^3/atom
E = -6.46 eV per atom

Record 12
The following is a GGA+U calculation of crystalline ZrVF2 at its relaxed geometry, from the Alexandria database.

Structure (POSCAR):
```
ZrVF2
1.0
0.0000 3.0568 3.0568
3.0568 0.0000 3.0568
3.0568 3.0568 0.0000
Zr V F
1 1 2
Direct
0.0000 0.0000 0.0000
0.5000 0.5000 0.5000
0.2500 0.2500 0.2500
0.7500 0.7500 0.7500
```

Computed properties:
Total magnetization = 2.5 μB/cell
Symmetry = Fm-3m, No. 225
Offset from the most stable computed form = 928 meV/atom
V = 14.28 A^3/atom
E = -5.53 eV per atom

Record 13
The following is a GGA+U calculation of crystalline ZrVF2 at its relaxed geometry, from the Alexandria database.

Structure (POSCAR):
```
ZrVF2
1.0
1.7222 0.9943 6.2000
-1.7222 0.9943 6.2000
0.0000 -1.9887 6.2000
Zr V F
1 1 2
Direct
0.0000 0.0000 0.0000
0.5000 0.5000 0.5000
0.1234 0.1234 0.1234
0.8766 0.8766 0.8766
```

Computed properties:
Total magnetization = 1.1 μB/cell
Symmetry = R-3m, No. 166
Offset from the most stable computed form = 0 meV/atom
V = 15.93 A^3/atom
E = -6.46 eV per atom

Record 14
The following is a GGA+U calculation of crystalline WF5 at its relaxed geometry, from the Alexandria database.

Structure (POSCAR):
```
WF5
1.0
-1.8653 2.2055 4.8991
1.8653 -2.2055 4.8991
1.8653 2.2055 -4.8991
W F
1 5
Direct
0.0000 0.0000 0.0000
0.1948 0.1948 0.0000
0.2352 0.5000 0.7352
0.5000 0.0000 0.5000
0.7648 0.5000 0.2648
0.8052 0.8052 0.0000
```

Computed properties:
Total magnetization = 1.0 μB/cell
Symmetry = Immm, No. 71
Offset from the most stable computed form = 365 meV/atom
V = 13.44 A^3/atom
E = -4.99 eV per atom

Record 15
The following is a GGA+U calculation of crystalline WF5 at its relaxed geometry, from the Alexandria database.

Structure (POSCAR):
```
WF5
1.0
1.8026 -5.6376 0.0000
1.8026 5.6376 0.0000
0.0000 0.0000 8.5381
W F
2 10
Direct
0.0000 0.0000 0.0000
0.0000 0.0000 0.5000
0.0216 0.9784 0.7500
0.1557 0.8443 0.0870
0.1557 0.8443 0.4130
0.4247 0.5753 0.0848
0.4247 0.5753 0.4152
0.5753 0.4247 0.5848
0.5753 0.4247 0.9152
0.8443 0.1557 0.5870
0.8443 0.1557 0.9130
0.9784 0.0216 0.2500
```

Computed properties:
Total magnetization = 2.0 μB/cell
Symmetry = Cmcm, No. 63
Offset from the most stable computed form = 210 meV/atom
V = 14.46 A^3/atom
E = -5.14 eV per atom

Record 16
The following is a GGA+U calculation of crystalline WF4 at its relaxed geometry, from the Alexandria database.

Structure (POSCAR):
```
WF4
1.0
5.9314 -4.4079 0.0000
5.9314 4.4079 0.0000
-5.7430 0.0000 7.6199
W F
6 24
Direct
0.1737 0.8263 0.7500
0.2184 0.3790 0.1819
0.3790 0.2184 0.6819
0.6210 0.7816 0.3181
0.7816 0.6210 0.8181
0.8263 0.1737 0.2500
0.0000 0.5000 0.0000
0.0168 0.7768 0.8519
0.1085 0.6131 0.3384
0.1262 0.1422 0.4287
0.1422 0.1262 0.9287
0.2058 0.5178 0.6240
0.2232 0.9832 0.6481
0.3080 0.4111 0.8787
0.3869 0.8915 0.1616
0.4023 0.5977 0.2500
0.4111 0.3080 0.3787
0.4822 0.7942 0.8760
0.5000 0.0000 0.5000
0.5178 0.2058 0.1240
0.5889 0.6920 0.6213
0.5977 0.4023 0.7500
0.6131 0.1085 0.8384
0.6920 0.5889 0.1213
0.7768 0.0168 0.3519
0.7942 0.4822 0.3760
0.8578 0.8738 0.0713
0.8738 0.8578 0.5713
0.8915 0.3869 0.6616
0.9832 0.2232 0.1481
```

Computed properties:
Total magnetization = 12.0 μB/cell
Symmetry = C2/c, No. 15
Offset from the most stable computed form = 29 meV/atom
V = 13.28 A^3/atom
E = -5.50 eV per atom

Record 17
The following is a GGA+U calculation of crystalline WF5 at its relaxed geometry, from the Alexandria database.

Structure (POSCAR):
```
WF5
1.0
4.9435 -2.7409 0.0000
4.9435 2.7409 0.0000
-3.1293 0.0000 7.1530
W F
2 10
Direct
0.0000 0.0000 0.0000
0.0000 0.0000 0.5000
0.0750 0.3144 0.6306
0.1218 0.8782 0.7500
0.2072 0.6168 0.0326
0.3144 0.0750 0.1306
0.3832 0.7928 0.4674
0.6168 0.2072 0.5326
0.6856 0.9250 0.8694
0.7928 0.3832 0.9674
0.8782 0.1218 0.2500
0.9250 0.6856 0.3694
```

Computed properties:
Total magnetization = 2.0 μB/cell
Symmetry = C2/c, No. 15
Offset from the most stable computed form = 0 meV/atom
V = 16.15 A^3/atom
E = -5.35 eV per atom

Record 18
The following is a GGA+U calculation of crystalline WF4 at its relaxed geometry, from the Alexandria database.

Structure (POSCAR):
```
WF4
1.0
5.2479 0.0000 0.0000
0.1475 5.5279 0.0000
0.1311 2.6090 5.1649
W F
2 8
Direct
0.0000 0.0000 0.0000
0.5000 0.5000 0.5000
0.1522 0.2305 0.1278
0.2024 0.2407 0.6533
0.3004 0.7341 0.1530
0.3410 0.7364 0.6278
0.6590 0.2636 0.3722
0.6996 0.2659 0.8470
0.7976 0.7593 0.3467
0.8478 0.7695 0.8722
```

Computed properties:
Total magnetization = 4.0 μB/cell
Symmetry = P-1, No. 2
Offset from the most stable computed form = 0 meV/atom
V = 14.98 A^3/atom
E = -5.52 eV per atom

Record 19
The following is a GGA+U calculation of crystalline WF5 at its relaxed geometry, from the Alexandria database.

Structure (POSCAR):
```
WF5
1.0
5.6262 0.0000 0.0000
0.0000 9.7213 0.0000
-3.0670 0.0000 7.1801
W F
4 20
Direct
0.2372 0.2498 0.4904
0.2372 0.2502 0.9904
0.7628 0.7498 0.0096
0.7628 0.7502 0.5096
0.0368 0.0961 0.3621
0.0368 0.4039 0.8621
0.0816 0.6592 0.5590
0.0816 0.8408 0.0590
0.2370 0.1816 0.7404
0.2370 0.3184 0.2404
0.4378 0.0971 0.1197
0.4378 0.4029 0.6197
0.4446 0.6585 0.9611
0.4446 0.8415 0.4611
0.5554 0.1585 0.5389
0.5554 0.3415 0.0389
0.5622 0.5971 0.3803
0.5622 0.9029 0.8803
0.7630 0.6816 0.7596
0.7630 0.8184 0.2596
0.9184 0.1592 0.9410
0.9184 0.3408 0.4410
0.9632 0.5961 0.1379
0.9632 0.9039 0.6379
```

Computed properties:
Total magnetization = 4.0 μB/cell
Symmetry = P2_1/c, No. 14
Offset from the most stable computed form = 1 meV/atom
V = 16.36 A^3/atom
E = -5.35 eV per atom

Record 20
The following is a GGA+U calculation of crystalline WF4 at its relaxed geometry, from the Alexandria database.

Structure (POSCAR):
```
WF4
1.0
4.0914 0.0000 0.0000
0.0000 4.0914 0.0000
0.0000 0.0000 4.0914
W F
1 4
Direct
0.0000 0.0000 0.0000
0.0000 0.0000 0.5000
0.0000 0.5000 0.0000
0.5000 0.0000 0.0000
0.5000 0.5000 0.5000
```

Computed properties:
Total magnetization = 2.0 μB/cell
Symmetry = Pm-3m, No. 221
Offset from the most stable computed form = 557 meV/atom
V = 13.70 A^3/atom
E = -4.97 eV per atom

Record 21
The following is a GGA+U calculation of crystalline YWF at its relaxed geometry, from the Alexandria database.

Structure (POSCAR):
```
YWF
1.0
3.3038 0.0000 0.0000
-1.6519 2.8612 0.0000
0.0000 0.0000 12.4623
Y W F
2 2 2
Direct
0.0000 0.0000 0.2227
0.0000 0.0000 0.7773
0.3333 0.6667 0.4240
0.6667 0.3333 0.5760
0.3333 0.6667 0.1127
0.6667 0.3333 0.8873
```

Computed properties:
Total magnetization = 0.0 μB/cell
Symmetry = P-3m1, No. 164
Offset from the most stable computed form = 223 meV/atom
V = 19.63 A^3/atom
E = -6.24 eV per atom

Record 22
The following is a GGA+U calculation of crystalline YW2F at its relaxed geometry, from the Alexandria database.

Structure (POSCAR):
```
YW2F
1.0
-2.7408 2.7408 6.8427
2.7408 -2.7408 6.8427
2.7408 2.7408 -6.8427
Y W F
2 4 2
Direct
0.3750 0.6250 0.7500
0.6250 0.3750 0.2500
0.0000 0.0000 0.0000
0.0000 0.0000 0.5000
0.0000 0.5000 0.0000
0.5000 0.0000 0.5000
0.1250 0.8750 0.2500
0.8750 0.1250 0.7500
```

Computed properties:
Total magnetization = 10.0 μB/cell
Symmetry = I4_1/amd, No. 141
Offset from the most stable computed form = 0 meV/atom
V = 25.70 A^3/atom
E = -4.90 eV per atom

Record 23
The following is a GGA+U calculation of crystalline YWF at its relaxed geometry, from the Alexandria database.

Structure (POSCAR):
```
YWF
1.0
3.3910 0.0000 0.0000
0.0000 1.7149 9.6260
0.0000 -1.7149 9.6260
Y W F
2 2 2
Direct
0.0000 0.0000 0.0000
0.5000 0.2080 0.2080
0.0000 0.8191 0.8191
0.5000 0.3922 0.3922
0.0000 0.6740 0.6740
0.5000 0.0869 0.0869
```

Computed properties:
Total magnetization = 0.6 μB/cell
Symmetry = Amm2, No. 38
Offset from the most stable computed form = 47 meV/atom
V = 18.66 A^3/atom
E = -6.41 eV per atom

Record 24
The following is a GGA+U calculation of crystalline YWF2 at its relaxed geometry, from the Alexandria database.

Structure (POSCAR):
```
YWF2
1.0
1.4855 0.8577 7.8847
-1.4855 0.8577 7.8847
0.0000 -1.7153 7.8847
Y W F
1 1 2
Direct
0.0000 0.0000 0.0000
0.5000 0.5000 0.5000
0.4053 0.4053 0.4053
0.5947 0.5947 0.5947
```

Computed properties:
Total magnetization = 0.0 μB/cell
Symmetry = R-3m, No. 166
Offset from the most stable computed form = 220 meV/atom
V = 15.07 A^3/atom
E = -5.55 eV per atom